Computed, not measured: a geometry-optimized BaCaPb2F8 structure at the PBE-GGA level of DFT.

Cell and atoms, written as CIF:
```
data_BaCaPb2F8
_symmetry_space_group_name_H-M 'P m m m'
_symmetry_Int_Tables_number 47
_cell_length_a 4.236
_cell_length_b 5.935
_cell_length_c 8.377
_cell_angle_alpha 90.00
_cell_angle_beta 90.00
_cell_angle_gamma 90.00
loop_
_symmetry_equiv_pos_as_xyz
'x,y,z'
'-x,-y,-z'
'-x,-y,z'
'x,y,-z'
'x,-y,-z'
'-x,y,z'
'-x,y,-z'
'x,-y,z'
loop_
_atom_site_label
_atom_site_fract_x
_atom_site_fract_y
_atom_site_fract_z
Ba1 0.000 0.000 0.000
Ca1 0.000 0.000 0.500
Pb1 0.500 0.500 0.264
F1 0.000 0.245 0.274
F2 0.500 0.229 0.500
F3 0.500 0.264 0.000
```

As for the crystal system: orthorhombic. The calculation puts the uncorrected formation energy at -37.7 eV per formula unit. As for the total energy: -5.331 eV/atom. The density of states at the Fermi level is 0.00 states/eV/cell.

Computed, not measured: a geometry-optimized BaCaPdF6 structure at the PBE-GGA level of DFT.

Cell and atoms, written as CIF:
```
data_BaCaPdF6
_symmetry_space_group_name_H-M 'I m m a'
_symmetry_Int_Tables_number 74
_symmetry_space_group_name_Hall '-I 2b 2'
_cell_length_a 7.547
_cell_length_b 7.600
_cell_length_c 10.616
_cell_angle_alpha 90.00
_cell_angle_beta 90.00
_cell_angle_gamma 90.00
loop_
_atom_site_label
_atom_site_fract_x
_atom_site_fract_y
_atom_site_fract_z
Ba1 0.000 0.250 0.124
Ca1 0.000 0.000 0.500
Pd1 0.250 0.250 0.750
F1 0.000 0.250 0.387
F2 0.000 0.250 0.854
F3 0.242 0.019 0.625
```

As for the crystal system: orthorhombic. The calculation puts the uncorrected formation energy at -25.2 eV per formula unit. As for the total energy: -5.059 eV/atom.

Computed, not measured: a geometry-optimized Rb2BaCaF structure at the PBE-GGA level of DFT.

Cell and atoms, written as CIF:
```
data_Rb2BaCaF
_symmetry_space_group_name_H-M 'P 4/m m m'
_symmetry_Int_Tables_number 123
_symmetry_space_group_name_Hall '-P 4 2'
_cell_length_a 7.011
_cell_length_b 7.011
_cell_length_c 5.176
_cell_angle_alpha 90.00
_cell_angle_beta 90.00
_cell_angle_gamma 90.00
loop_
_atom_site_label
_atom_site_fract_x
_atom_site_fract_y
_atom_site_fract_z
Rb1 0.000 0.500 0.000
Ba1 0.000 0.000 0.500
Ca1 0.500 0.500 0.500
F1 0.000 0.000 0.000
```

As for the crystal system: tetragonal. The calculation puts the uncorrected formation energy at -4.6 eV per formula unit. As for the total energy: -2.460 eV/atom. The density of states at the Fermi level is 3.98 states/eV/cell.

Computed, not measured: a geometry-optimized RbBa2CaF structure at the PBE-GGA level of DFT.

Cell and atoms, written as CIF:
```
data_RbBa2CaF
_symmetry_space_group_name_H-M 'P 4/m m m'
_symmetry_Int_Tables_number 123
_symmetry_space_group_name_Hall '-P 4 2'
_cell_length_a 5.823
_cell_length_b 5.823
_cell_length_c 6.586
_cell_angle_alpha 90.00
_cell_angle_beta 90.00
_cell_angle_gamma 90.00
loop_
_atom_site_label
_atom_site_fract_x
_atom_site_fract_y
_atom_site_fract_z
Rb1 0.000 0.000 0.000
Ba1 0.000 0.500 0.500
Ca1 0.500 0.500 0.000
F1 0.000 0.000 0.500
```

As for the crystal system: tetragonal. The calculation puts the uncorrected formation energy at -4.7 eV per formula unit. As for the total energy: -2.682 eV/atom. The density of states at the Fermi level is 4.94 states/eV/cell.